Entry 1:
PmYInAu after structural relaxation, computed with PBE.

Cell: 3.652 3.652 7.813 Å, 90.00 90.00 90.00°
Space group P4mm (No. 99)
Inequivalent atoms, fractional coordinates:
Pm  0.000  0.000  0.000 (multiplicity 1)
Y  0.000  0.000  0.464 (multiplicity 1)
In  0.500  0.500  0.726 (multiplicity 1)
Au  0.500  0.500  0.253 (multiplicity 1)

Calculated values
Offset from the most stable computed form (meV per atom): 0.0
Calculated formation energy (eV/atom): -0.6658

Entry 2:
MnP3 after structural relaxation, computed with PBE.

Cell: 3.714 4.324 4.561 Å, 104.26 94.73 107.81°
Space group P1 (No. 1)
Inequivalent atoms, fractional coordinates:
Mn  0.000  0.000  0.000 (multiplicity 1)
P  0.046  0.569  0.206 (multiplicity 1)
P  0.439  0.913  0.671 (multiplicity 1)
P  0.586  0.182  0.311 (multiplicity 1)

Calculated values
Offset from the most stable computed form (meV per atom): 219.6
Calculated formation energy (eV/atom): 0.0604

Entry 3:
LiHgTeN2 after structural relaxation, computed with PBE.

Cell: 4.352 4.352 6.043 Å, 90.00 90.00 90.00°
Space group P4/mmm (No. 123)
Inequivalent atoms, fractional coordinates:
Li  0.000  0.000  0.000 (multiplicity 1)
Hg  0.500  0.500  0.500 (multiplicity 1)
Te  0.500  0.500  0.000 (multiplicity 1)
N  0.000  0.500  0.500 (multiplicity 2)

Calculated values
ΔE_f (raw) (meV per atom): 1515
Offset from the most stable computed form (meV per atom): 0.0

Entry 4:
CsLiZnS2 after structural relaxation, computed with PBE.

Cell: 6.115 14.458 6.003 Å, 90.00 90.00 90.00°
Space group Cmme (No. 67)
Inequivalent atoms, fractional coordinates:
Cs  0.000  0.250  0.245 (multiplicity 4)
Li  0.250  0.000  0.500 (multiplicity 4)
Zn  0.000  0.000  0.000 (multiplicity 4)
S  0.000  0.099  0.733 (multiplicity 8)

Calculated values
ΔE_f (raw) (meV per atom): -1028

Entry 5:
CrCdMo2 after structural relaxation, computed with PBE.

Cell: 6.385 6.385 6.385 Å, 90.00 90.00 90.00°
Space group F-43m (No. 216)
Inequivalent atoms, fractional coordinates:
Cr  0.000  0.000  0.000 (multiplicity 4)
Cd  0.250  0.250  0.250 (multiplicity 4)
Mo  0.000  0.000  0.500 (multiplicity 4)
Mo  0.250  0.250  0.750 (multiplicity 4)

Calculated values
Calculated formation energy (eV/atom): 0.5063

Entry 6:
Ti3AuN after structural relaxation, computed with PBE.

Cell: 3.4222 3.4222 16.1739 Å, 90.00 90.00 120.00°
Space group P6_3/mmc (No. 194)
Inequivalent atoms, fractional coordinates:
Ti  0.0000  0.0000  0.2500 (multiplicity 2)
Ti  0.3333  0.6667  0.1222 (multiplicity 4)
Au  0.0000  0.0000  0.0000 (multiplicity 2)
N  0.3333  0.6667  0.2500 (multiplicity 2)

Calculated values
ΔE_f (raw) (meV per atom): -543

Entry 7:
Ce2UPtN5 after structural relaxation, computed with PBE.

Cell: 3.524 13.121 10.870 Å, 90.00 90.00 90.00°
Space group Cmc2_1 (No. 36)
Inequivalent atoms, fractional coordinates:
Ce  0.000  0.096  0.000 (multiplicity 4)
Ce  0.000  0.140  0.614 (multiplicity 4)
U  0.000  0.207  0.328 (multiplicity 4)
Pt  0.000  0.478  0.758 (multiplicity 4)
N  0.000  0.059  0.391 (multiplicity 4)
N  0.000  0.271  0.962 (multiplicity 4)
N  0.000  0.322  0.694 (multiplicity 4)
N  0.000  0.366  0.301 (multiplicity 4)
N  0.000  0.483  0.077 (multiplicity 4)

Calculated values
ΔE_f (raw) (meV per atom): -966

Entry 8:
Pm8Ho2Ga after structural relaxation, computed with PBE.

Cell: 5.552 7.492 17.414 Å, 90.00 90.00 90.00°
Space group Immm (No. 71)
Inequivalent atoms, fractional coordinates:
Pm  0.000  0.000  0.183 (multiplicity 4)
Pm  0.000  0.235  0.368 (multiplicity 8)
Pm  0.000  0.248  0.000 (multiplicity 4)
Ho  0.000  0.500  0.192 (multiplicity 4)
Ga  0.000  0.500  0.500 (multiplicity 2)

Calculated values
Calculated formation energy (eV/atom): -0.0172